# Sm2InNi2, relaxed, DFT PBE
# Formation enthalpy at 0 K   -462 meV/atom
# Total energy   -5.210 eV per atom
# Size of the total moment   0.0 Bohr magnetons per cell
data_Sm2InNi2
_cell_length_a 7.4877
_cell_length_b 7.4877
_cell_length_c 3.7716
_cell_angle_alpha 90.00
_cell_angle_beta 90.00
_cell_angle_gamma 90.00
_symmetry_space_group_name_H-M 'P 4/m b m'
_symmetry_Int_Tables_number 127
_symmetry_space_group_name_Hall '-P 4 2ab'
loop_
_atom_site_label
_atom_site_type_symbol
_atom_site_fract_x
_atom_site_fract_y
_atom_site_fract_z
Sm1 Sm 0.1768 0.3232 0.0000
In1 In 0.0000 0.0000 0.5000
Ni1 Ni 0.1179 0.6179 0.5000

=====

# Sm3In4Ni2, relaxed, DFT PBE
# Formation enthalpy at 0 K   -417 meV/atom
# Total energy   -4.492 eV per atom
# Size of the total moment   0.0 Bohr magnetons per cell
data_Sm3In4Ni2
_cell_length_a 11.3096
_cell_length_b 4.5776
_cell_length_c 9.0726
_cell_angle_alpha 90.00
_cell_angle_beta 114.47
_cell_angle_gamma 90.00
_symmetry_space_group_name_H-M 'C 1 2/m 1'
_symmetry_Int_Tables_number 12
_symmetry_space_group_name_Hall '-C 2y'
loop_
_atom_site_label
_atom_site_type_symbol
_atom_site_fract_x
_atom_site_fract_y
_atom_site_fract_z
Sm1 Sm 0.0000 0.0000 0.0000
Sm2 Sm 0.1850 0.5000 0.6295
In1 In 0.0217 0.0000 0.3526
In2 In 0.2332 0.5000 0.0876
Ni1 Ni 0.1006 0.5000 0.2699

=====

# SmIn6Ni3, relaxed, DFT PBE
# Formation enthalpy at 0 K   -148 meV/atom
# Total energy   -3.997 eV per atom
# Size of the total moment   0.0 Bohr magnetons per cell
data_SmIn6Ni3
_cell_length_a 8.2846
_cell_length_b 4.3666
_cell_length_c 11.8304
_cell_angle_alpha 90.00
_cell_angle_beta 90.02
_cell_angle_gamma 90.00
_symmetry_space_group_name_H-M 'P 1 21/m 1'
_symmetry_Int_Tables_number 11
_symmetry_space_group_name_Hall '-P 2yb'
loop_
_atom_site_label
_atom_site_type_symbol
_atom_site_fract_x
_atom_site_fract_y
_atom_site_fract_z
Sm1 Sm 0.0169 0.2500 0.3022
In1 In 0.0503 0.7500 0.0878
In2 In 0.2152 0.2500 0.5553
In3 In 0.2854 0.2500 0.8014
In4 In 0.3786 0.7500 0.9809
In5 In 0.3953 0.2500 0.2245
In6 In 0.4066 0.7500 0.4089
Ni1 Ni 0.0986 0.7500 0.4714
Ni2 Ni 0.2302 0.2500 0.0392
Ni3 Ni 0.3469 0.7500 0.6480

=====

# Sr2SmIn12Ni3, relaxed, DFT PBE
# Formation enthalpy at 0 K   -57 meV/atom
# Total energy   -3.296 eV per atom
# Size of the total moment   0.0 Bohr magnetons per cell
data_Sr2SmIn12Ni3
_cell_length_a 9.3355
_cell_length_b 9.3355
_cell_length_c 20.4220
_cell_angle_alpha 90.00
_cell_angle_beta 90.00
_cell_angle_gamma 120.00
_symmetry_space_group_name_H-M 'R -3 m'
_symmetry_Int_Tables_number 166
_symmetry_space_group_name_Hall '-R 3 2"'
loop_
_atom_site_label
_atom_site_type_symbol
_atom_site_fract_x
_atom_site_fract_y
_atom_site_fract_z
Sr1 Sr 0.0000 0.0000 0.0863
Sm1 Sm 0.0000 0.0000 0.5000
In1 In 0.0720 0.5360 0.8779
In2 In 0.0774 0.5387 0.3145
Ni1 Ni 0.0000 0.5000 0.0000

=====

# Sm3Tl2In3Ni, relaxed, DFT PBE
# Formation enthalpy at 0 K   -419 meV/atom
# Total energy   -4.073 eV per atom
# Size of the total moment   0.0 Bohr magnetons per cell
data_Sm3Tl2In3Ni
_cell_length_a 7.6648
_cell_length_b 7.6648
_cell_length_c 4.4733
_cell_angle_alpha 90.00
_cell_angle_beta 90.00
_cell_angle_gamma 120.00
_symmetry_space_group_name_H-M 'P -6 2 m'
_symmetry_Int_Tables_number 189
_symmetry_space_group_name_Hall 'P -6 -2'
loop_
_atom_site_label
_atom_site_type_symbol
_atom_site_fract_x
_atom_site_fract_y
_atom_site_fract_z
Sm1 Sm 0.0000 0.6128 0.0000
Tl1 Tl 0.3333 0.6667 0.5000
In1 In 0.0000 0.2310 0.5000
Ni1 Ni 0.0000 0.0000 0.0000

=====

# InNi2Sn, relaxed, DFT PBE
# Formation enthalpy at 0 K   -51 meV/atom
# Total energy   -4.627 eV per atom
# Size of the total moment   0.0 Bohr magnetons per cell
data_InNi2Sn
_cell_length_a 4.4666
_cell_length_b 4.4666
_cell_length_c 3.1924
_cell_angle_alpha 90.00
_cell_angle_beta 90.00
_cell_angle_gamma 90.00
_symmetry_space_group_name_H-M 'P 4/m m m'
_symmetry_Int_Tables_number 123
_symmetry_space_group_name_Hall '-P 4 2'
loop_
_atom_site_label
_atom_site_type_symbol
_atom_site_fract_x
_atom_site_fract_y
_atom_site_fract_z
In1 In 0.0000 0.0000 0.0000
Ni1 Ni 0.0000 0.5000 0.5000
Sn1 Sn 0.5000 0.5000 0.0000

=====

# InNi3Sn, relaxed, DFT PBE
# Formation enthalpy at 0 K   -44 meV/atom
# Total energy   -4.861 eV per atom
# Size of the total moment   0.0 Bohr magnetons per cell
# Distance to the lowest polymorph of the same formula   0 meV per atom
data_InNi3Sn
_cell_length_a 9.8022
_cell_length_b 7.7750
_cell_length_c 8.2517
_cell_angle_alpha 90.00
_cell_angle_beta 90.00
_cell_angle_gamma 90.00
_symmetry_space_group_name_H-M 'C m c m'
_symmetry_Int_Tables_number 63
_symmetry_space_group_name_Hall '-C 2c 2'
loop_
_atom_site_label
_atom_site_type_symbol
_atom_site_fract_x
_atom_site_fract_y
_atom_site_fract_z
In1 In 0.0000 0.0251 0.2500
In2 In 0.0000 0.3625 0.7500
Ni1 Ni 0.1280 0.1653 0.5097
Ni2 Ni 0.1337 0.5000 0.0000
Sn1 Sn 0.2048 0.3267 0.2500

=====

# InNi12Sn3, relaxed, DFT PBE
# Formation enthalpy at 0 K   -147 meV/atom
# Total energy   -5.405 eV per atom
# Size of the total moment   0.6 Bohr magnetons per cell
data_InNi12Sn3
_cell_length_a 3.7319
_cell_length_b 3.7319
_cell_length_c 14.9589
_cell_angle_alpha 90.00
_cell_angle_beta 90.00
_cell_angle_gamma 90.00
_symmetry_space_group_name_H-M 'P 4/m m m'
_symmetry_Int_Tables_number 123
_symmetry_space_group_name_Hall '-P 4 2'
loop_
_atom_site_label
_atom_site_type_symbol
_atom_site_fract_x
_atom_site_fract_y
_atom_site_fract_z
In1 In 0.0000 0.0000 0.0000
Ni1 Ni 0.0000 0.5000 0.1264
Ni2 Ni 0.0000 0.5000 0.3752
Ni3 Ni 0.5000 0.5000 0.0000
Ni4 Ni 0.5000 0.5000 0.2514
Ni5 Ni 0.5000 0.5000 0.5000
Sn1 Sn 0.0000 0.0000 0.2498
Sn2 Sn 0.0000 0.0000 0.5000